1.
The following is a PBE calculation of a geometry-optimized Ba2PCl structure, from the Alexandria database.

Output
Offset from the most stable computed form (meV per atom): 205
Space group: Amm2 (38)
Final energy (eV/atom): -4.2332

a b c (Å): 5.0675 6.4411 6.4411
angles (deg): 38.72 90.00 90.00
Last column: nearest neighbours and their distance in Å.
Fractional positions:
Ba  0.0000  0.0000  0.0000  1 P 3.19, 4 Cl 3.31
Ba  0.5000  0.2438  0.2438  1 Cl 3.08, 4 P 3.31
P  0.0000  0.7376  0.7376  5 Ba 3.19-3.31
Cl  0.5000  0.4970  0.4970  5 Ba 3.08-3.31

***

2.
The following is a PBE calculation of a geometry-optimized CaBi2PbO8 structure, from the Alexandria database.

Output
Space group: P2/m (10)
Final energy (eV/atom): -5.6124

a b c (Å): 5.1036 6.8774 5.1093
angles (deg): 90.00 92.77 90.00
Last column: nearest neighbours and their distance in Å.
Fractional positions:
Ca  0.0000  0.0000  0.0000  6 O 2.28-2.35
Bi  0.5000  0.2492  0.5000  6 O 2.11-2.22
Bi  0.5000  0.7508  0.5000  6 O 2.11-2.22
Pb  0.0000  0.5000  0.0000  6 O 2.17-2.30
O  0.2024  0.2603  0.1983  1 Bi 2.11, 1 Pb 2.17, 1 Ca 2.28
O  0.2024  0.7397  0.1983  1 Bi 2.11, 1 Pb 2.17, 1 Ca 2.28
O  0.3088  0.5000  0.6866  2 Bi 2.22, 1 Pb 2.30
O  0.3160  0.0000  0.6805  2 Bi 2.18, 1 Ca 2.35
O  0.6840  0.0000  0.3195  2 Bi 2.18, 1 Ca 2.35
O  0.6912  0.5000  0.3134  2 Bi 2.22, 1 Pb 2.30
O  0.7976  0.2603  0.8017  1 Bi 2.11, 1 Pb 2.17, 1 Ca 2.28
O  0.7976  0.7397  0.8017  1 Bi 2.11, 1 Pb 2.17, 1 Ca 2.28

***

3.
The following is a PBE calculation of a geometry-optimized LaBeP structure, from the Alexandria database.

Output
Offset from the most stable computed form (meV per atom): 736
Formation enthalpy at 0 K (eV/atom): -0.26
Space group: F-43m (216)
Final energy (eV/atom): -4.9504

a b c (Å): 4.3309 4.3309 4.3309
angles (deg): 60.00 60.00 60.00
Last column: nearest neighbours and their distance in Å.
Fractional positions:
La  0.0000  0.0000  0.0000  4 Be 2.65
Be  0.7500  0.7500  0.7500  4 La 2.65, 4 P 2.65
P  0.5000  0.5000  0.5000  4 Be 2.65

***

4.
The following is a PBE calculation of a geometry-optimized CaHf2ScN4 structure, from the Alexandria database.

Output
Space group: Imma (74)
Final energy (eV/atom): -9.4263

a b c (Å): 6.5252 6.5252 6.5252
angles (deg): 120.39 119.60 90.01
Last column: nearest neighbours and their distance in Å.
Fractional positions:
Ca  0.5000  0.0000  0.0000  6 N 2.39-2.41
Ca  0.5000  0.5000  0.5000  6 N 2.39-2.41
Hf  0.0000  0.0000  0.0000  6 N 2.27-2.28
Hf  0.0000  0.0000  0.5000  6 N 2.21-2.23
Hf  0.0000  0.5000  0.0000  6 N 2.21-2.23
Hf  0.5000  0.0000  0.5000  6 N 2.27-2.28
Sc  0.0000  0.5000  0.5000  6 N 2.34-2.35
Sc  0.5000  0.5000  0.0000  6 N 2.34-2.35
N  0.2248  0.2455  0.9793  3 Hf 2.21-2.27, 1 Sc 2.35, 2 Ca 2.41
N  0.2338  0.7545  0.4793  3 Hf 2.21-2.27, 1 Sc 2.35, 2 Ca 2.41
N  0.2413  0.2353  0.4939  3 Hf 2.23-2.28, 2 Sc 2.34, 1 Ca 2.39
N  0.2413  0.7474  0.0061  3 Hf 2.23-2.28, 2 Sc 2.34, 1 Ca 2.39
N  0.7587  0.2526  0.9939  3 Hf 2.23-2.28, 2 Sc 2.34, 1 Ca 2.39
N  0.7587  0.7647  0.5061  3 Hf 2.23-2.28, 2 Sc 2.34, 1 Ca 2.39
N  0.7662  0.2455  0.5207  3 Hf 2.21-2.27, 1 Sc 2.35, 2 Ca 2.41
N  0.7752  0.7545  0.0207  3 Hf 2.21-2.27, 1 Sc 2.35, 2 Ca 2.41

***

5.
The following is a PBE calculation of a geometry-optimized Cu3AgSe2 structure, from the Alexandria database.

Output
Space group: C2/m (12)
Final energy (eV/atom): -3.7373

a b c (Å): 7.6668 7.6668 8.2341
angles (deg): 120.52 120.52 31.20
Last column: nearest neighbours and their distance in Å.
Fractional positions:
Cu  0.0875  0.0875  0.2726  3 Se 2.42-2.50, 4 Cu 2.57-2.61
Cu  0.3128  0.3128  0.5254  2 Se 2.38-2.53, 4 Cu 2.57-2.65
Cu  0.3958  0.3958  0.9037  4 Se 2.46-2.67, 4 Cu 2.61-2.68
Cu  0.6042  0.6042  0.0963  4 Se 2.46-2.67, 4 Cu 2.61-2.68
Cu  0.6872  0.6872  0.4746  2 Se 2.38-2.53, 4 Cu 2.57-2.65
Cu  0.9125  0.9125  0.7274  3 Se 2.42-2.50, 4 Cu 2.57-2.61
Ag  0.1185  0.1185  0.6330  3 Cu 2.75-2.89, 4 Se 2.90-3.00, 1 Ag 2.99
Ag  0.8815  0.8815  0.3670  3 Cu 2.75-2.89, 4 Se 2.90-3.00, 1 Ag 2.99
Se  0.2206  0.2206  0.1861  4 Cu 2.38-2.53
Se  0.4866  0.4866  0.2549  5 Cu 2.46-2.67
Se  0.5134  0.5134  0.7451  5 Cu 2.46-2.67
Se  0.7794  0.7794  0.8139  4 Cu 2.38-2.53

***

6.
The following is a PBE calculation of a geometry-optimized Ac3MgP2Pd9 structure, from the Alexandria database.

Output
Formation enthalpy at 0 K (eV/atom): -0.73
Space group: P-3m1 (164)
Final energy (eV/atom): -5.4938

a b c (Å): 6.2747 6.2747 9.7265
angles (deg): 90.00 90.00 120.00
Last column: nearest neighbours and their distance in Å.
Fractional positions:
Ac  0.0000  0.0000  0.0000  12 Pd 3.14-3.21
Ac  0.3333  0.6667  0.6882  9 Pd 3.15-3.53
Ac  0.6667  0.3333  0.3118  9 Pd 3.15-3.53
Mg  0.0000  0.0000  0.5000  6 Pd 2.67
P  0.3333  0.6667  0.1603  6 Pd 2.32-2.39
P  0.6667  0.3333  0.8397  6 Pd 2.32-2.39
Pd  0.0000  0.5000  0.0000  2 P 2.39
Pd  0.1506  0.3012  0.2834  1 P 2.32
Pd  0.1506  0.8494  0.2834  1 P 2.32
Pd  0.3012  0.1506  0.7166  1 P 2.32
Pd  0.5000  0.0000  0.0000  2 P 2.39
Pd  0.5000  0.5000  0.0000  2 P 2.39
Pd  0.6988  0.8494  0.2834  1 P 2.32
Pd  0.8494  0.1506  0.7166  1 P 2.32
Pd  0.8494  0.6988  0.7166  1 P 2.32

***

7.
The following is a PBE calculation of a geometry-optimized AcTbSm6Y2 structure, from the Alexandria database.

Output
Formation enthalpy at 0 K (eV/atom): 0.13
Space group: C2/c (15)
Final energy (eV/atom): -4.8728

a b c (Å): 8.9977 8.9977 9.6549
angles (deg): 92.59 92.59 116.45
Last column: nearest neighbours and their distance in Å.
Fractional positions:
Ac  0.0349  0.9651  0.7500  4 Y 3.50-3.64, 6 Sm 3.66-3.82
Ac  0.9651  0.0349  0.2500  4 Y 3.50-3.64, 6 Sm 3.66-3.82
Tb  0.4112  0.5888  0.2500  6 Sm 3.50-3.60, 4 Y 3.58-3.89
Tb  0.5888  0.4112  0.7500  6 Sm 3.50-3.60, 4 Y 3.58-3.89
Sm  0.0065  0.5498  0.6807  4 Sm 3.27-3.65, 1 Tb 3.50, 2 Y 3.50-3.59, 1 Ac 3.66
Sm  0.1182  0.7547  0.0570  7 Sm 3.50-3.88, 1 Y 3.65, 2 Ac 3.81-3.82
Sm  0.2453  0.8818  0.4430  7 Sm 3.50-3.88, 1 Y 3.65, 2 Ac 3.81-3.82
Sm  0.2914  0.5193  0.8833  4 Sm 3.26-3.55, 3 Y 3.34-3.52, 2 Tb 3.50-3.60
Sm  0.4502  0.9935  0.8193  4 Sm 3.27-3.65, 1 Tb 3.50, 2 Y 3.50-3.59, 1 Ac 3.66
Sm  0.4807  0.7086  0.6167  4 Sm 3.26-3.55, 3 Y 3.34-3.52, 2 Tb 3.50-3.60
Sm  0.5193  0.2914  0.3833  4 Sm 3.26-3.55, 3 Y 3.34-3.52, 2 Tb 3.50-3.60
Sm  0.5498  0.0065  0.1807  4 Sm 3.27-3.65, 1 Tb 3.50, 2 Y 3.50-3.59, 1 Ac 3.66
Sm  0.7086  0.4807  0.1167  4 Sm 3.26-3.55, 3 Y 3.34-3.52, 2 Tb 3.50-3.60
Sm  0.7547  0.1182  0.5570  7 Sm 3.50-3.88, 1 Y 3.65, 2 Ac 3.81-3.82
Sm  0.8818  0.2453  0.9430  7 Sm 3.50-3.88, 1 Y 3.65, 2 Ac 3.81-3.82
Sm  0.9935  0.4502  0.3193  4 Sm 3.27-3.65, 1 Tb 3.50, 2 Y 3.50-3.59, 1 Ac 3.66
Y  0.2065  0.3099  0.5507  6 Sm 3.34-3.65, 2 Ac 3.50-3.64, 1 Tb 3.58
Y  0.3099  0.2065  0.0507  6 Sm 3.34-3.65, 2 Ac 3.50-3.64, 1 Tb 3.58
Y  0.6901  0.7935  0.9493  6 Sm 3.34-3.65, 2 Ac 3.50-3.64, 1 Tb 3.58
Y  0.7935  0.6901  0.4493  6 Sm 3.34-3.65, 2 Ac 3.50-3.64, 1 Tb 3.58

***

8.
The following is a PBE calculation of a geometry-optimized ZrBeNiRh2 structure, from the Alexandria database.

Output
Offset from the most stable computed form (meV per atom): 0
Formation enthalpy at 0 K (eV/atom): -0.50
Space group: P4/mmm (123)
Final energy (eV/atom): -7.0560

a b c (Å): 4.1896 4.1896 3.9778
angles (deg): 90.00 90.00 90.00
Last column: nearest neighbours and their distance in Å.
Fractional positions:
Zr  0.0000  0.0000  0.0000  8 Rh 2.89, 4 Ni 2.96
Be  0.5000  0.5000  0.5000  2 Ni 1.99, 4 Rh 2.09
Ni  0.5000  0.5000  0.0000  2 Be 1.99
Rh  0.0000  0.5000  0.5000  2 Be 2.09
Rh  0.5000  0.0000  0.5000  2 Be 2.09